1.
VASP calculation (GGA-PBE) on crystalline BaLaNb2 at its relaxed geometry.

The value obtained for the formation energy is 1.099 eV per atom. The energy above the most stable polymorph in this dataset comes out at 0.000 eV per atom.

It has space group Fm-3m (No. 225), with a = 7.503 Å, b = 7.503 Å, c = 7.503 Å, α = 90.00°, β = 90.00° and γ = 90.00°. The inequivalent atoms are Ba at (0.000, 0.000, 0.000), La at (0.000, 0.000, 0.500) and Nb at (0.250, 0.250, 0.250).

=====

2.
VASP calculation (GGA-PBE) on crystalline Ba3LaNb at its relaxed geometry.

The value obtained for the formation energy is 1.606 eV per atom.

It has space group Pm-3m (No. 221), with a = 6.186 Å, b = 6.186 Å, c = 6.186 Å, α = 90.00°, β = 90.00° and γ = 90.00°. The inequivalent atoms are Ba at (0.000, 0.000, 0.500), La at (0.000, 0.000, 0.000) and Nb at (0.500, 0.500, 0.500).

=====

3.
VASP calculation (GGA-PBE) on crystalline BaLaNb3 at its relaxed geometry.

The value obtained for the formation energy is 1.591 eV per atom. The energy above the most stable polymorph in this dataset comes out at 0.000 eV per atom.

It has space group Pm-3m (No. 221), with a = 5.172 Å, b = 5.172 Å, c = 5.172 Å, α = 90.00°, β = 90.00° and γ = 90.00°. The inequivalent atoms are Ba at (0.000, 0.000, 0.000), La at (0.500, 0.500, 0.500) and Nb at (0.000, 0.500, 0.500).

=====

4.
VASP calculation (GGA-PBE) on crystalline BaLaNb2Ni at its relaxed geometry.

The value obtained for the formation energy is 0.665 eV per atom.

It has space group P4/mmm (No. 123), with a = 4.917 Å, b = 4.917 Å, c = 5.484 Å, α = 90.00°, β = 90.00° and γ = 90.00°. The inequivalent atoms are Ba at (0.000, 0.000, 0.000), La at (0.500, 0.500, 0.000), Nb at (0.000, 0.500, 0.500) and Ni at (0.500, 0.500, 0.500).

=====

5.
VASP calculation (GGA-PBE) on crystalline Ba4LaNb3O12 at its relaxed geometry.

For the formation energy without anion corrections, the calculation gives -2802 meV/atom.

It has space group Im-3m (No. 229), with a = 8.552 Å, b = 8.552 Å, c = 8.552 Å, α = 90.00°, β = 90.00° and γ = 90.00°. The inequivalent atoms are Ba at (0.250, 0.250, 0.250), La at (0.000, 0.000, 0.000), Nb at (0.000, 0.000, 0.500), O at (0.000, 0.000, 0.269) and O at (0.000, 0.250, 0.500).

=====

6.
VASP calculation (GGA-PBE) on crystalline Ba2LaNbO at its relaxed geometry.

For the formation energy without anion corrections, the calculation gives 1048 meV/atom.

It has space group P4/mmm (No. 123), with a = 6.443 Å, b = 6.443 Å, c = 4.911 Å, α = 90.00°, β = 90.00° and γ = 90.00°. The inequivalent atoms are Ba at (0.000, 0.500, 0.000), La at (0.000, 0.000, 0.000), Nb at (0.000, 0.000, 0.500) and O at (0.500, 0.500, 0.500).

=====

What did the third record say?
VASP calculation (GGA-PBE) on crystalline BaLaNb3 at its relaxed geometry.

The value obtained for the formation energy is 1.591 eV per atom. The energy above the most stable polymorph in this dataset comes out at 0.000 eV per atom.

It has space group Pm-3m (No. 221), with a = 5.172 Å, b = 5.172 Å, c = 5.172 Å, α = 90.00°, β = 90.00° and γ = 90.00°. The inequivalent atoms are Ba at (0.000, 0.000, 0.000), La at (0.500, 0.500, 0.500) and Nb at (0.000, 0.500, 0.500).